Entry from Alexandria via LeMat-Bulk: a relaxed structure of ScTlI2Cl (GGA-PBE).

ΔE_f (raw) = -1.038 eV/atom
E = -3.7673 eV/atom
crystal system = tetragonal
density = 5.10 Mg/m³

a b c (Å): 5.939 5.939 4.976
angles (deg): 90.00 90.00 90.00
Each line ends with the local moment (μB).
Element x y z (fractional)
Tl: 0.500 0.500 0.500  0.01
Sc: 0.000 0.000 0.000  0.64
I: 0.000 0.500 0.000  -0.01
I: 0.500 0.000 0.000  -0.01
Cl: 0.000 0.000 0.500  -0.02

Entry from Alexandria via LeMat-Bulk: a relaxed structure of SeICl2 (GGA-PBE).

ΔE_f (raw) = 0.262 eV/atom
E = -1.9197 eV/atom
crystal system = tetragonal
energy above the most stable polymorph in this dataset = 1.58 eV/f.u.
density = 2.56 Mg/m³

a b c (Å): 7.971 7.971 7.984
angles (deg): 60.05 60.05 90.00
Element x y z (fractional)
Cl: 0.875 0.625 0.750
Cl: 0.375 0.125 0.250
Cl: 0.375 0.625 0.250
Cl: 0.375 0.625 0.750
I: 0.000 0.000 0.000
I: 0.750 0.250 0.500
Se: 0.500 0.500 0.000
Se: 0.250 0.750 0.500

Entry from Alexandria via LeMat-Bulk: a relaxed structure of SeICl2 (GGA-PBE).

ΔE_f (raw) = -0.132 eV/atom
E = -2.3143 eV/atom
crystal system = monoclinic
energy above the most stable polymorph in this dataset = 0.00 eV/f.u.
density = 2.95 Mg/m³

a b c (Å): 4.340 7.439 20.319
angles (deg): 90.00 71.89 90.00
Element x y z (fractional)
Se: 0.829 0.018 0.399
Se: 0.329 0.482 0.899
Se: 0.171 0.982 0.601
Se: 0.671 0.518 0.101
Cl: 0.245 0.747 0.127
Cl: 0.108 0.322 0.056
Cl: 0.255 0.247 0.373
Cl: 0.745 0.753 0.627
Cl: 0.608 0.178 0.556
Cl: 0.392 0.822 0.444
Cl: 0.892 0.678 0.944
Cl: 0.755 0.253 0.873
I: 0.508 0.617 0.777
I: 0.992 0.117 0.723
I: 0.492 0.383 0.223
I: 0.008 0.883 0.277

Entry from Alexandria via LeMat-Bulk: a relaxed structure of SeICl2 (GGA-PBE).

ΔE_f (raw) = 0.390 eV/atom
E = -1.7922 eV/atom
crystal system = trigonal
energy above the most stable polymorph in this dataset = 2.09 eV/f.u.
density = 4.03 Mg/m³

a b c (Å): 10.506 10.506 10.506
angles (deg): 19.60 19.60 19.60
Each line ends with the local moment (μB).
Element x y z (fractional)
Cl: 0.919 0.919 0.919  0.07
Cl: 0.081 0.081 0.081  0.07
Se: 0.500 0.500 0.500  0.79
I: 0.000 0.000 0.000  0.01

Entry from Alexandria via LeMat-Bulk: a relaxed structure of Se2I3Cl4 (GGA-PBE).

ΔE_f (raw) = -0.105 eV/atom
E = -2.2165 eV/atom
crystal system = monoclinic
density = 2.79 Mg/m³

a b c (Å): 12.319 12.319 7.343
angles (deg): 58.68 58.68 69.99
Each line ends with the local moment (μB).
Element x y z (fractional)
Cl: 0.532 0.794 0.503  0.01
Cl: 0.848 0.473 0.544  0.09
Cl: 0.527 0.152 0.956  0.09
Cl: 0.468 0.206 0.497  0.01
Cl: 0.794 0.532 0.003  0.01
Cl: 0.473 0.848 0.044  0.09
Cl: 0.206 0.468 0.997  0.01
Cl: 0.152 0.527 0.456  0.09
I: 0.631 0.369 0.250  0.01
I: 0.904 0.804 0.091  0.02
I: 0.196 0.096 0.409  0.02
I: 0.369 0.631 0.750  0.01
I: 0.096 0.196 0.909  0.02
I: 0.804 0.904 0.591  0.02
Se: 0.844 0.653 0.548  0.19
Se: 0.653 0.844 0.048  0.19
Se: 0.347 0.156 0.952  0.19
Se: 0.156 0.347 0.452  0.19

Entry from Alexandria via LeMat-Bulk: a relaxed structure of SeICl2 (GGA-PBE).

ΔE_f (raw) = 0.051 eV/atom
E = -2.1314 eV/atom
crystal system = trigonal
energy above the most stable polymorph in this dataset = 0.73 eV/f.u.
density = 3.59 Mg/m³

a b c (Å): 13.087 13.087 13.087
angles (deg): 14.84 14.84 14.84
Element x y z (fractional)
Cl: 0.059 0.059 0.059
Cl: 0.941 0.941 0.941
Se: 0.000 0.000 0.000
I: 0.500 0.500 0.500